Entry 1:
Compound: NaNb4O8
Source: Alexandria via LeMat-Bulk
Functional: PBE
Structure: optimized geometry

It has space group C2/m (No. 12), with a = 10.5788 Å, b = 6.1333 Å, c = 7.9359 Å, α = 90.00°, β = 130.16° and γ = 90.00°. The distinct sites, in fractional coordinates, are Na at (0.0000, 0.0000, 0.0000), Nb at (0.0000, 0.2796, 0.5000), Nb at (0.2263, 0.5000, 0.4651), O at (0.0785, 0.2334, 0.3138), O at (0.1664, 0.0000, 0.6719) and O at (0.2035, 0.5000, 0.7075).

Its crystal system is monoclinic. The calculation puts the density at 4.4 Mg/m³. The total energy is -8.471 eV/atom. As for the raw formation energy: -28.9 eV/f.u.

Entry 2:
Compound: AgBrCl6
Source: Alexandria via LeMat-Bulk
Functional: PBE
Structure: optimized geometry

It has space group P-1 (No. 2), with a = 5.5414 Å, b = 7.6712 Å, c = 7.6863 Å, α = 88.61°, β = 71.35° and γ = 70.92°. The distinct sites, in fractional coordinates, are Ag at (0.0000, 0.0000, 0.0000), Br at (0.0000, 0.5000, 0.0000), Cl at (0.0726, 0.9006, 0.5781), Cl at (0.3010, 0.1886, 0.8699) and Cl at (0.3273, 0.6292, 0.8136).

Its crystal system is triclinic. The calculation puts the density at 2.3 Mg/m³. The total energy is -2.017 eV/atom. As for the raw formation energy: -0.5 eV/f.u.

Entry 3:
Compound: La2PrDy2Ho2
Source: Alexandria via LeMat-Bulk
Functional: PBE
Structure: optimized geometry

It has space group C2/m (No. 12), with a = 11.4462 Å, b = 5.1095 Å, c = 8.1353 Å, α = 90.00°, β = 98.09° and γ = 90.00°. The distinct sites, in fractional coordinates, are La at (0.1424, 0.0000, 0.4272), Pr at (0.0000, 0.0000, 0.0000), Dy at (0.2161, 0.5000, 0.1392) and Ho at (0.0711, 0.5000, 0.7176).

Its crystal system is monoclinic. The formation enthalpy at 0 K is 0.029 eV/atom. The calculation puts the density at 7.6 Mg/m³. The total energy is -4.684 eV/atom.

Entry 4:
Compound: CsTa2OsS
Source: Alexandria via LeMat-Bulk
Functional: PBE
Structure: optimized geometry

It has space group P4/mmm (No. 123), with a = 4.7758 Å, b = 4.7758 Å, c = 4.5564 Å, α = 90.00°, β = 90.00° and γ = 90.00°. The distinct sites, in fractional coordinates, are Cs at (0.0000, 0.0000, 0.0000), Ta at (0.0000, 0.5000, 0.5000), Os at (0.5000, 0.5000, 0.0000) and S at (0.5000, 0.5000, 0.5000).

Its crystal system is tetragonal. The calculation puts the density at 11.5 Mg/m³. The total energy is -6.637 eV/atom. As for the raw formation energy: 6.7 eV/f.u.

Entry 5:
Compound: MgZr2In
Source: Alexandria via LeMat-Bulk
Functional: PBE
Structure: optimized geometry

It has space group I-42d (No. 122), with a = 8.1040 Å, b = 8.1040 Å, c = 5.7312 Å, α = 90.00°, β = 90.00° and γ = 90.00°. The distinct sites, in fractional coordinates, are Mg at (0.0000, 0.0000, 0.0000), Zr at (0.2473, 0.7500, 0.6250) and In at (0.0000, 0.0000, 0.5000).

Its crystal system is tetragonal. The formation enthalpy at 0 K is 0.237 eV/atom. The calculation puts the density at 5.7 Mg/m³. The total energy is -5.120 eV/atom.

Entry 6:
Compound: AuSeBr2
Source: Alexandria via LeMat-Bulk
Functional: PBE
Structure: optimized geometry

It has space group I-42d (No. 122), with a = 7.6064 Å, b = 7.6064 Å, c = 7.0685 Å, α = 90.00°, β = 90.00° and γ = 90.00°. The distinct sites, in fractional coordinates, are Au at (0.0000, 0.0000, 0.0000), Se at (0.0000, 0.0000, 0.5000) and Br at (0.2278, 0.2500, 0.1250).

Its distance to the lowest polymorph of the same formula is 47.8 kJ/mol of atoms. Its crystal system is tetragonal. The calculation puts the density at 7.1 Mg/m³. The total energy is -2.077 eV/atom. As for the raw formation energy: 1.8 eV/f.u.